1:
An optimized crystal structure of B2C. Source: Alexandria via LeMat-Bulk, functional PBE.

The total moment is 0.00 μB/atom.

abc: 5.101 8.103 4.300
angles: 90.00 107.82 90.00
Space group Cm (No. 8)
Unique sites:
B: 0.000 0.000 0.000 (multiplicity 2)
B: 0.034 0.383 0.330 (multiplicity 4)
B: 0.302 0.217 0.004 (multiplicity 4)
B: 0.396 0.343 0.453 (multiplicity 4)
B: 0.441 0.000 0.954 (multiplicity 2)
C: 0.077 0.000 0.378 (multiplicity 2)
C: 0.375 0.000 0.562 (multiplicity 2)
C: 0.475 0.329 0.835 (multiplicity 4)



2:
An optimized crystal structure of B2C. Source: Alexandria via LeMat-Bulk, functional PBE.

The total moment is 0.00 μB/atom.

abc: 2.6811 2.6811 16.2435
angles: 90.00 90.00 120.00
Space group P-3m1 (No. 164)
Unique sites:
B: 0.0000 0.0000 0.1497 (multiplicity 2)
B: 0.3333 0.6667 0.0191 (multiplicity 2)
B: 0.3333 0.6667 0.2523 (multiplicity 2)
B: 0.3333 0.6667 0.9155 (multiplicity 2)
C: 0.0000 0.0000 0.2460 (multiplicity 2)
C: 0.3333 0.6667 0.5000 (multiplicity 2)



Which structure is the most stable? The one labeled 2.



1:
An optimized crystal structure of ScIBr3. Source: Alexandria via LeMat-Bulk, functional PBE.

The total moment is 0.00 μB/atom.

abc: 6.5272 6.5272 34.0206
angles: 90.00 90.00 120.00
Space group R-3 (No. 148, hexagonal axes)
Unique sites:
Sc: 0.0000 0.0000 0.1667 (multiplicity 6)
I: 0.0000 0.0000 0.3334 (multiplicity 6)
Br: 0.9997 0.3473 0.4538 (multiplicity 18)



2:
An optimized crystal structure of ScIBr3. Source: Alexandria via LeMat-Bulk, functional PBE.

The total moment is 0.00 μB/atom.

abc: 6.744 6.791 11.072
angles: 90.05 98.79 119.60
Space group P-1 (No. 2)
Unique sites:
Sc: 0.166 0.332 0.000 (multiplicity 2)
I: 0.363 0.093 0.496 (multiplicity 2)
Br: 0.095 0.976 0.859 (multiplicity 2)
Br: 0.186 0.661 0.142 (multiplicity 2)
Br: 0.451 0.615 0.858 (multiplicity 2)



Which structure is the most stable? The one labeled 2.



1:
An optimized crystal structure of AlZnP2. Source: Alexandria via LeMat-Bulk, functional PBE.

The total moment is 0.00 μB/atom.

abc: 3.491 4.162 9.014
angles: 90.00 90.00 90.00
Space group Cmm2 (No. 35)
Unique sites:
Al: 0.000 0.000 0.000 (multiplicity 2)
Zn: 0.000 0.500 0.238 (multiplicity 2)
P: 0.000 0.000 0.448 (multiplicity 2)
P: 0.000 0.500 0.789 (multiplicity 2)



2:
An optimized crystal structure of AlZnP2. Source: Alexandria via LeMat-Bulk, functional PBE.

The total moment is 0.00 μB/atom.

abc: 3.924 3.522 5.167
angles: 90.00 104.88 90.00
Space group P2/m (No. 10)
Unique sites:
Al: 0.000 0.000 0.000 (multiplicity 1)
Zn: 0.500 0.000 0.500 (multiplicity 1)
P: 0.306 0.500 0.798 (multiplicity 2)



Which structure is the most stable? The one labeled 2.



1:
An optimized crystal structure of Tl2RhBr. Source: Alexandria via LeMat-Bulk, functional PBE.

The total moment is 0.00 μB/atom.

abc: 3.524 3.524 8.067
angles: 90.00 90.00 90.00
Space group P4mm (No. 99)
Unique sites:
Tl: 0.000 0.000 0.000 (multiplicity 1)
Tl: 0.500 0.500 0.334 (multiplicity 1)
Rh: 0.500 0.500 0.843 (multiplicity 1)
Br: 0.000 0.000 0.608 (multiplicity 1)



2:
An optimized crystal structure of Tl2RhBr. Source: Alexandria via LeMat-Bulk, functional PBE.

The total moment is 0.14 μB/atom.

abc: 4.501 4.501 9.632
angles: 90.00 90.00 90.00
Space group I4/mmm (No. 139)
Unique sites:
Tl: 0.000 0.500 0.250 (multiplicity 4)
Rh: 0.000 0.000 0.000 (multiplicity 2)
Br: 0.000 0.000 0.500 (multiplicity 2)



Which structure is the most stable? The one labeled 1.